DFT (GGA-PBE) results for an optimized crystal structure of Rb2Hg2I.

Lattice parameters (Å, degrees): 6.881 6.881 10.624 90.00 90.00 90.00
Space group I4/mmm (No. 139)
Symmetry-distinct sites (fractional):
Rb: 0.000 0.500 0.250 x4
Hg: 0.000 0.000 0.140 x4
I: 0.000 0.000 0.500 x2

Summary:
The raw total energy is -1.304 eV per atom. The calculation puts the formation energy without anion corrections at -2.432 eV/f.u. Its calculated density is 4.61 Mg/m³.